1.
VASP calculation (PBE) on a geometry-optimized Si4TcHg structure.

Structure (extended XYZ):
```
6
Lattice="4.0705 -2.5280 1.6872 2.9949 2.0792 3.5376 0.0443 -1.8843 4.7174" Properties=species:S:1:pos:R:3 pbc="T T T"
Si 4.1569 0.1501 5.4914
Si 4.6889 -2.1282 4.5763
Si 2.6978 -1.8099 6.0748
Si 2.6759 -0.8781 3.7419
Tc 5.3323 -1.7498 7.4567
Hg 0.0000 0.0000 0.0000
```

Properties
Calculated volume: 15.5 Å³/atom
ΔE_f (raw): 0.62 eV per atom
Space-group type: F-43m (216)
DOS at the Fermi energy: 5.22 states/eV/cell
E_tot: -4.78 eV per atom
Size of the total moment: 0.0001 μB per atom

=====

2.
VASP calculation (PBE) on a geometry-optimized SiTcHg2 structure.

Structure (extended XYZ):
```
4
Lattice="4.0799 -0.0160 0.0087 2.0530 3.5258 0.0087 2.0326 1.1632 5.4571" Properties=species:S:1:pos:R:3 pbc="T T T"
Hg 6.1325 3.5095 0.2427
Hg 6.1245 3.5049 3.9214
Si 4.0848 2.3377 1.8571
Tc 2.0393 1.1670 2.2078
```

Properties
Calculated volume: 19.6 Å³/atom
ΔE_f (raw): 0.29 eV per atom
Space-group type: R3m (160)
DOS at the Fermi energy: 2.33 states/eV/cell
E_tot: -3.81 eV per atom
Size of the total moment: 0.0000 μB per atom

=====

3.
VASP calculation (PBE) on a geometry-optimized SiTcHg2 structure.

Structure (extended XYZ):
```
4
Lattice="-4.7664 -1.0105 2.6028 -1.9719 -5.1495 0.3291 4.7323 2.7083 0.8859" Properties=species:S:1:pos:R:3 pbc="T T T"
Hg 0.0000 0.0000 0.0000
Hg -3.3692 -3.0800 1.4660
Si -0.3044 -2.7606 1.3405
Tc -1.7016 -0.6911 2.4774
```

Properties
Calculated volume: 18.0 Å³/atom
ΔE_f (raw): 0.58 eV per atom
Space-group type: I4/mmm (139)
DOS at the Fermi energy: 1.95 states/eV/cell
E_tot: -3.52 eV per atom
Size of the total moment: 0.2416 μB per atom

=====

> DOS at the Fermi energy of number 2 (SiTcHg2)?

2.33 states/eV/cell

=====

> Among the records above, which one has the highest E_tot?

number 3

=====

> What is the formula in the third record?

SiTcHg2